Record 1
# Ta2Bi2P PBE relaxed
# Offset from the most stable computed form in meV per atom: 0
# Electronic total energy in Ha/atom: -0.262
data_Ta2Bi2P
_chemical_formula_sum 'Ta4 Bi4 P2'
_symmetry_space_group_name_H-M 'P 4/m b m'
_symmetry_Int_Tables_number 127
_symmetry_space_group_name_Hall '-P 4 2ab'
_cell_length_a 6.476
_cell_length_b 6.476
_cell_length_c 5.424
_cell_angle_alpha 90.00
_cell_angle_beta 90.00
_cell_angle_gamma 90.00
loop_
_atom_site_label
_atom_site_type_symbol
_atom_site_fract_x
_atom_site_fract_y
_atom_site_fract_z
Ta1 Ta 0.156 0.344 0.000
Bi1 Bi 0.184 0.684 0.500
P1 P 0.000 0.000 0.000


Record 2
# TaBi2P PBE relaxed
# Electronic total energy in Ha/atom: -0.193
data_TaBi2P
_chemical_formula_sum 'Ta4 Bi8 P4'
_symmetry_space_group_name_H-M 'I -4 2 d'
_symmetry_Int_Tables_number 122
_symmetry_space_group_name_Hall 'I -4 2bw'
_cell_length_a 6.484
_cell_length_b 6.484
_cell_length_c 12.808
_cell_angle_alpha 90.00
_cell_angle_beta 90.00
_cell_angle_gamma 90.00
loop_
_atom_site_label
_atom_site_type_symbol
_atom_site_fract_x
_atom_site_fract_y
_atom_site_fract_z
Ta1 Ta 0.000 0.000 0.000
Bi1 Bi 0.246 0.250 0.625
P1 P 0.000 0.000 0.500


Record 3
# TaBiP2 PBE relaxed
# Electronic total energy in Ha/atom: -0.236
data_TaBiP2
_chemical_formula_sum 'Ta4 Bi4 P8'
_symmetry_space_group_name_H-M 'I -4 2 d'
_symmetry_Int_Tables_number 122
_symmetry_space_group_name_Hall 'I -4 2bw'
_cell_length_a 6.208
_cell_length_b 6.208
_cell_length_c 11.211
_cell_angle_alpha 90.00
_cell_angle_beta 90.00
_cell_angle_gamma 90.00
loop_
_atom_site_label
_atom_site_type_symbol
_atom_site_fract_x
_atom_site_fract_y
_atom_site_fract_z
Ta1 Ta 0.000 0.000 0.000
Bi1 Bi 0.000 0.000 0.500
P1 P 0.190 0.250 0.125


Record 4
# Ta2Bi2P PBE relaxed
# Offset from the most stable computed form in meV per atom: 838
# Electronic total energy in Ha/atom: -0.231
data_Ta2Bi2P
_chemical_formula_sum 'Ta4 Bi4 P2'
_symmetry_space_group_name_H-M 'I 4/m m m'
_symmetry_Int_Tables_number 139
_symmetry_space_group_name_Hall '-I 4 2'
_cell_length_a 4.141
_cell_length_b 4.141
_cell_length_c 14.378
_cell_angle_alpha 90.00
_cell_angle_beta 90.00
_cell_angle_gamma 90.00
loop_
_atom_site_label
_atom_site_type_symbol
_atom_site_fract_x
_atom_site_fract_y
_atom_site_fract_z
Ta1 Ta 0.000 0.000 0.086
Bi1 Bi 0.000 0.500 0.250
P1 P 0.000 0.000 0.500


Record 5
# TaTc2BiP PBE relaxed
# Electronic total energy in Ha/atom: -0.243
data_TaTc2BiP
_chemical_formula_sum 'Ta1 Tc2 Bi1 P1'
_symmetry_space_group_name_H-M 'P 4/m m m'
_symmetry_Int_Tables_number 123
_symmetry_space_group_name_Hall '-P 4 2'
_cell_length_a 4.785
_cell_length_b 4.785
_cell_length_c 5.464
_cell_angle_alpha 90.00
_cell_angle_beta 90.00
_cell_angle_gamma 90.00
loop_
_atom_site_label
_atom_site_type_symbol
_atom_site_fract_x
_atom_site_fract_y
_atom_site_fract_z
Ta1 Ta 0.000 0.000 0.000
Tc1 Tc 0.000 0.500 0.000
Bi1 Bi 0.000 0.000 0.500
P1 P 0.500 0.500 0.500


Record 6
# TaTiBiP2 PBE relaxed
# Electronic total energy in Ha/atom: -0.180
data_TaTiBiP2
_chemical_formula_sum 'Ta1 Ti1 Bi1 P2'
_symmetry_space_group_name_H-M 'P 4/m m m'
_symmetry_Int_Tables_number 123
_symmetry_space_group_name_Hall '-P 4 2'
_cell_length_a 5.100
_cell_length_b 5.100
_cell_length_c 5.277
_cell_angle_alpha 90.00
_cell_angle_beta 90.00
_cell_angle_gamma 90.00
loop_
_atom_site_label
_atom_site_type_symbol
_atom_site_fract_x
_atom_site_fract_y
_atom_site_fract_z
Ta1 Ta 0.000 0.000 0.000
Ti1 Ti 0.500 0.500 0.000
Bi1 Bi 0.000 0.000 0.500
P1 P 0.000 0.500 0.500


Record 7
# TaZnBi2P PBE relaxed
# Electronic total energy in Ha/atom: -0.144
data_TaZnBi2P
_chemical_formula_sum 'Ta1 Zn1 Bi2 P1'
_symmetry_space_group_name_H-M 'P 4/m m m'
_symmetry_Int_Tables_number 123
_symmetry_space_group_name_Hall '-P 4 2'
_cell_length_a 5.231
_cell_length_b 5.231
_cell_length_c 4.975
_cell_angle_alpha 90.00
_cell_angle_beta 90.00
_cell_angle_gamma 90.00
loop_
_atom_site_label
_atom_site_type_symbol
_atom_site_fract_x
_atom_site_fract_y
_atom_site_fract_z
Ta1 Ta 0.000 0.000 0.000
Zn1 Zn 0.000 0.000 0.500
Bi1 Bi 0.000 0.500 0.500
P1 P 0.500 0.500 0.000


Record 8
# Tb4BiP2 PBE relaxed
# Electronic total energy in Ha/atom: -0.219
data_Tb4BiP2
_chemical_formula_sum 'Tb16 Bi4 P8'
_symmetry_space_group_name_H-M 'C m c m'
_symmetry_Int_Tables_number 63
_symmetry_space_group_name_Hall '-C 2c 2'
_cell_length_a 4.146
_cell_length_b 13.273
_cell_length_c 13.643
_cell_angle_alpha 90.00
_cell_angle_beta 90.00
_cell_angle_gamma 90.00
loop_
_atom_site_label
_atom_site_type_symbol
_atom_site_fract_x
_atom_site_fract_y
_atom_site_fract_z
Tb1 Tb 0.000 0.000 0.000
Tb2 Tb 0.000 0.263 0.115
Tb3 Tb 0.000 0.433 0.750
Bi1 Bi 0.000 0.109 0.750
P1 P 0.000 0.366 0.559


Record 9
# Tb3Bi2P PBE relaxed
# Electronic total energy in Ha/atom: -0.205
data_Tb3Bi2P
_chemical_formula_sum 'Tb12 Bi8 P4'
_symmetry_space_group_name_H-M 'C 1 2/c 1'
_symmetry_Int_Tables_number 15
_symmetry_space_group_name_Hall '-C 2yc'
_cell_length_a 7.617
_cell_length_b 12.980
_cell_length_c 7.432
_cell_angle_alpha 90.00
_cell_angle_beta 109.18
_cell_angle_gamma 90.00
loop_
_atom_site_label
_atom_site_type_symbol
_atom_site_fract_x
_atom_site_fract_y
_atom_site_fract_z
Tb1 Tb 0.218 0.075 0.496
Tb2 Tb 0.250 0.250 0.000
Bi1 Bi 0.000 0.259 0.250
Bi2 Bi 0.000 0.418 0.750
P1 P 0.000 0.085 0.750


Record 10
# Tb5Bi4P PBE relaxed
# Electronic total energy in Ha/atom: -0.198
data_Tb5Bi4P
_chemical_formula_sum 'Tb10 Bi8 P2'
_symmetry_space_group_name_H-M 'I 4'
_symmetry_Int_Tables_number 79
_symmetry_space_group_name_Hall 'I 4'
_cell_length_a 9.830
_cell_length_b 9.830
_cell_length_c 6.249
_cell_angle_alpha 90.00
_cell_angle_beta 90.00
_cell_angle_gamma 90.00
loop_
_atom_site_label
_atom_site_type_symbol
_atom_site_fract_x
_atom_site_fract_y
_atom_site_fract_z
Tb1 Tb 0.000 0.000 0.000
Tb2 Tb 0.097 0.723 0.501
Bi1 Bi 0.092 0.696 0.001
P1 P 0.000 0.000 0.501


Record 11
# Tb6BiP4 PBE relaxed
# Electronic total energy in Ha/atom: -0.229
data_Tb6BiP4
_chemical_formula_sum 'Tb24 Bi4 P16'
_symmetry_space_group_name_H-M 'C m c m'
_symmetry_Int_Tables_number 63
_symmetry_space_group_name_Hall '-C 2c 2'
_cell_length_a 4.100
_cell_length_b 13.289
_cell_length_c 20.583
_cell_angle_alpha 90.00
_cell_angle_beta 90.00
_cell_angle_gamma 90.00
loop_
_atom_site_label
_atom_site_type_symbol
_atom_site_fract_x
_atom_site_fract_y
_atom_site_fract_z
Tb1 Tb 0.000 0.000 0.000
Tb2 Tb 0.000 0.160 0.250
Tb3 Tb 0.000 0.272 0.580
Tb4 Tb 0.000 0.463 0.157
Bi1 Bi 0.000 0.161 0.750
P1 P 0.000 0.094 0.124
P2 P 0.000 0.363 0.042


Record 12
# Tb5BiP4 PBE relaxed
# Electronic total energy in Ha/atom: -0.231
data_Tb5BiP4
_chemical_formula_sum 'Tb10 Bi2 P8'
_symmetry_space_group_name_H-M 'C 1 2/m 1'
_symmetry_Int_Tables_number 12
_symmetry_space_group_name_Hall '-C 2y'
_cell_length_a 13.730
_cell_length_b 4.063
_cell_length_c 10.208
_cell_angle_alpha 90.00
_cell_angle_beta 119.88
_cell_angle_gamma 90.00
loop_
_atom_site_label
_atom_site_type_symbol
_atom_site_fract_x
_atom_site_fract_y
_atom_site_fract_z
Tb1 Tb 0.000 0.000 0.000
Tb2 Tb 0.111 0.500 0.385
Tb3 Tb 0.207 0.000 0.818
Bi1 Bi 0.000 0.000 0.500
P1 P 0.097 0.500 0.899
P2 P 0.203 0.000 0.294


Record 13
# Tb4BiTe2P PBE relaxed
# Electronic total energy in Ha/atom: -0.205
# ΔE_f (raw) in eV/atom: -1.309
data_Tb4BiTe2P
_chemical_formula_sum 'Tb4 Bi1 Te2 P1'
_symmetry_space_group_name_H-M 'P 1 2/m 1'
_symmetry_Int_Tables_number 10
_symmetry_space_group_name_Hall '-P 2y'
_cell_length_a 7.522
_cell_length_b 4.278
_cell_length_c 7.539
_cell_angle_alpha 90.00
_cell_angle_beta 109.02
_cell_angle_gamma 90.00
loop_
_atom_site_label
_atom_site_type_symbol
_atom_site_fract_x
_atom_site_fract_y
_atom_site_fract_z
Tb1 Tb 0.219 0.000 0.219
Tb2 Tb 0.231 0.500 0.769
Bi1 Bi 0.000 0.000 0.500
Te1 Te 0.500 0.000 0.000
Te2 Te 0.500 0.500 0.500
P1 P 0.000 0.500 0.000


Record 14
# Tb2Tm2Bi2P PBE relaxed
# Electronic total energy in Ha/atom: -0.193
data_Tb2Tm2Bi2P
_chemical_formula_sum 'Tb4 Tm4 Bi4 P2'
_symmetry_space_group_name_H-M 'I 4/m m m'
_symmetry_Int_Tables_number 139
_symmetry_space_group_name_Hall '-I 4 2'
_cell_length_a 5.082
_cell_length_b 5.082
_cell_length_c 16.200
_cell_angle_alpha 90.00
_cell_angle_beta 90.00
_cell_angle_gamma 90.00
loop_
_atom_site_label
_atom_site_type_symbol
_atom_site_fract_x
_atom_site_fract_y
_atom_site_fract_z
Tb1 Tb 0.000 0.000 0.166
Tm1 Tm 0.000 0.500 0.000
Bi1 Bi 0.000 0.000 0.363
P1 P 0.000 0.000 0.000


Record 15
# Tb2Tm3Bi2P2 PBE relaxed
# Electronic total energy in Ha/atom: -0.196
data_Tb2Tm3Bi2P2
_chemical_formula_sum 'Tb4 Tm6 Bi4 P4'
_symmetry_space_group_name_H-M 'I 4/m m m'
_symmetry_Int_Tables_number 139
_symmetry_space_group_name_Hall '-I 4 2'
_cell_length_a 5.098
_cell_length_b 5.098
_cell_length_c 19.922
_cell_angle_alpha 90.00
_cell_angle_beta 90.00
_cell_angle_gamma 90.00
loop_
_atom_site_label
_atom_site_type_symbol
_atom_site_fract_x
_atom_site_fract_y
_atom_site_fract_z
Tb1 Tb 0.000 0.000 0.079
Tm1 Tm 0.000 0.000 0.500
Tm2 Tm 0.000 0.500 0.250
Bi1 Bi 0.000 0.000 0.341
P1 P 0.000 0.500 0.000


Record 16
# Tc3BiP PBE relaxed
# Offset from the most stable computed form in meV per atom: 0
# Electronic total energy in Ha/atom: -0.280
data_Tc3BiP
_chemical_formula_sum 'Tc3 Bi1 P1'
_symmetry_space_group_name_H-M 'P m -3 m'
_symmetry_Int_Tables_number 221
_symmetry_space_group_name_Hall '-P 4 2 3'
_cell_length_a 4.491
_cell_length_b 4.491
_cell_length_c 4.491
_cell_angle_alpha 90.00
_cell_angle_beta 90.00
_cell_angle_gamma 90.00
loop_
_atom_site_label
_atom_site_type_symbol
_atom_site_fract_x
_atom_site_fract_y
_atom_site_fract_z
Tc1 Tc 0.000 0.000 0.500
Bi1 Bi 0.500 0.500 0.500
P1 P 0.000 0.000 0.000


Record 17
# TcBiP2 PBE relaxed
# Electronic total energy in Ha/atom: -0.226
data_TcBiP2
_chemical_formula_sum 'Tc4 Bi4 P8'
_symmetry_space_group_name_H-M 'I -4 2 d'
_symmetry_Int_Tables_number 122
_symmetry_space_group_name_Hall 'I -4 2bw'
_cell_length_a 5.962
_cell_length_b 5.962
_cell_length_c 10.909
_cell_angle_alpha 90.00
_cell_angle_beta 90.00
_cell_angle_gamma 90.00
loop_
_atom_site_label
_atom_site_type_symbol
_atom_site_fract_x
_atom_site_fract_y
_atom_site_fract_z
Tc1 Tc 0.000 0.000 0.000
Bi1 Bi 0.000 0.000 0.500
P1 P 0.175 0.250 0.125


Record 18
# TcBiP3 PBE relaxed
# Offset from the most stable computed form in meV per atom: 0
# Electronic total energy in Ha/atom: -0.206
data_TcBiP3
_chemical_formula_sum 'Tc1 Bi1 P3'
_symmetry_space_group_name_H-M 'P m -3 m'
_symmetry_Int_Tables_number 221
_symmetry_space_group_name_Hall '-P 4 2 3'
_cell_length_a 4.680
_cell_length_b 4.680
_cell_length_c 4.680
_cell_angle_alpha 90.00
_cell_angle_beta 90.00
_cell_angle_gamma 90.00
loop_
_atom_site_label
_atom_site_type_symbol
_atom_site_fract_x
_atom_site_fract_y
_atom_site_fract_z
Tc1 Tc 0.000 0.000 0.000
Bi1 Bi 0.500 0.500 0.500
P1 P 0.000 0.000 0.500


Record 19
# Tc2BiP PBE relaxed
# Offset from the most stable computed form in meV per atom: 204
# Electronic total energy in Ha/atom: -0.253
data_Tc2BiP
_chemical_formula_sum 'Tc8 Bi4 P4'
_symmetry_space_group_name_H-M 'I -4 2 d'
_symmetry_Int_Tables_number 122
_symmetry_space_group_name_Hall 'I -4 2bw'
_cell_length_a 5.830
_cell_length_b 5.830
_cell_length_c 10.762
_cell_angle_alpha 90.00
_cell_angle_beta 90.00
_cell_angle_gamma 90.00
loop_
_atom_site_label
_atom_site_type_symbol
_atom_site_fract_x
_atom_site_fract_y
_atom_site_fract_z
Tc1 Tc 0.186 0.250 0.125
Bi1 Bi 0.000 0.000 0.500
P1 P 0.000 0.000 0.000


Record 20
# TcBi2P PBE relaxed
# Electronic total energy in Ha/atom: -0.186
data_TcBi2P
_chemical_formula_sum 'Tc4 Bi8 P4'
_symmetry_space_group_name_H-M 'I -4 2 d'
_symmetry_Int_Tables_number 122
_symmetry_space_group_name_Hall 'I -4 2bw'
_cell_length_a 6.310
_cell_length_b 6.310
_cell_length_c 12.256
_cell_angle_alpha 90.00
_cell_angle_beta 90.00
_cell_angle_gamma 90.00
loop_
_atom_site_label
_atom_site_type_symbol
_atom_site_fract_x
_atom_site_fract_y
_atom_site_fract_z
Tc1 Tc 0.000 0.000 0.000
Bi1 Bi 0.236 0.250 0.125
P1 P 0.000 0.000 0.500